1.
DFT (PBE) results for a geometry-optimized BaScH2O structure.

Output
Crystal system ... tetragonal
E ... -5.403 eV/atom
Total magnetization ... 0.49 Bohr magnetons per cell
Space group ... No. 123

Lattice parameters (Å, degrees): 4.160 4.160 4.215 90.00 90.00 90.00
Each line ends with the local moment (μB).
Atoms (fractional coordinates):
Ba 0.500 0.500 0.500  0.06
H 0.500 0.000 0.000  0.00
H 0.000 0.500 0.000  0.00
Sc 0.000 0.000 0.000  0.26
O 0.000 0.000 0.500  -0.01

2.
DFT (PBE) results for a geometry-optimized Pr4PPdI2 structure.

Output
Crystal system ... monoclinic
E_form (uncorrected) ... -1.07 eV per atom
Total magnetization ... 0.00 Bohr magnetons per cell
Space group ... No. 10

Lattice parameters (Å, degrees): 4.180 7.678 8.100 106.71 90.00 90.00
Atoms (fractional coordinates):
I 0.000 0.500 0.500
I 0.500 0.000 0.500
Pr 0.500 0.219 0.198
Pr 0.000 0.271 0.806
Pr 0.500 0.781 0.802
Pd 0.500 0.500 0.000
P 0.000 0.000 0.000
Pr 0.000 0.729 0.194

3.
DFT (PBE) results for a geometry-optimized LaNdPd3 structure.

Output
Crystal system ... orthorhombic
E ... -5.835 eV/atom
Total magnetization ... 0.00 Bohr magnetons per cell
Space group ... No. 63

Lattice parameters (Å, degrees): 4.398 3.935 13.891 98.14 90.00 90.00
Atoms (fractional coordinates):
Pd 0.750 0.623 0.246
Pd 0.750 0.527 0.054
La 0.250 0.072 0.143
Pd 0.750 0.315 0.631
Pd 0.250 0.473 0.946
La 0.750 0.928 0.857
Nd 0.750 0.204 0.408
Pd 0.250 0.377 0.754
Nd 0.250 0.796 0.592
Pd 0.250 0.685 0.369

4.
DFT (PBE) results for a geometry-optimized Tl5CdSn structure.

Output
Crystal system ... monoclinic
E ... -2.353 eV/atom
Total magnetization ... 0.00 Bohr magnetons per cell
Space group ... No. 15

Lattice parameters (Å, degrees): 5.840 8.744 8.744 82.95 77.13 77.13
Atoms (fractional coordinates):
Tl 0.750 0.734 0.266
Sn 0.750 0.442 0.558
Tl 0.842 0.060 0.660
Cd 0.500 0.000 0.000
Tl 0.433 0.827 0.658
Tl 0.658 0.340 0.940
Cd 0.000 0.000 0.000
Sn 0.250 0.558 0.442
Tl 0.342 0.660 0.060
Tl 0.158 0.940 0.340
Tl 0.933 0.658 0.827
Tl 0.067 0.342 0.173
Tl 0.250 0.266 0.734
Tl 0.567 0.173 0.342

5.
DFT (PBE) results for a geometry-optimized CoMoAs structure.

Output
Crystal system ... cubic
E ... -7.234 eV/atom
Total magnetization ... 0.45 Bohr magnetons per cell
Space group ... No. 216

Lattice parameters (Å, degrees): 4.116 4.116 4.116 60.00 60.00 60.00
Each line ends with the local moment (μB).
Atoms (fractional coordinates):
Co 0.500 0.500 0.500  0.62
As 0.000 0.000 0.000  0.03
Mo 0.750 0.750 0.750  -0.18

6.
DFT (PBE) results for a geometry-optimized TcGe structure.

Output
Crystal system ... cubic
E ... -7.673 eV/atom
Total magnetization ... 0.00 Bohr magnetons per cell
Space group ... No. 198

Lattice parameters (Å, degrees): 4.918 4.918 4.918 90.00 90.00 90.00
Atoms (fractional coordinates):
Tc 0.384 0.884 0.616
Tc 0.884 0.616 0.384
Ge 0.906 0.094 0.594
Ge 0.406 0.406 0.406
Ge 0.594 0.906 0.094
Ge 0.094 0.594 0.906
Tc 0.616 0.384 0.884
Tc 0.116 0.116 0.116

7.
DFT (PBE) results for a geometry-optimized TbHfGa2 structure.

Output
Crystal system ... tetragonal
E ... -5.579 eV/atom
Total magnetization ... 0.00 Bohr magnetons per cell
Space group ... No. 123

Lattice parameters (Å, degrees): 3.576 3.576 6.486 90.00 90.00 90.00
Atoms (fractional coordinates):
Ga 0.000 0.000 0.219
Ga 0.000 0.000 0.781
Hf 0.500 0.500 0.000
Tb 0.500 0.500 0.500

8.
DFT (PBE) results for a geometry-optimized NdHo2Se structure.

Output
Crystal system ... trigonal
E_form (uncorrected) ... -0.80 eV per atom
Total magnetization ... 0.49 Bohr magnetons per cell
Space group ... No. 160

Lattice parameters (Å, degrees): 3.788 3.788 9.805 78.86 78.86 60.00
Each line ends with the local moment (μB).
Atoms (fractional coordinates):
Se 0.667 0.667 0.000  0.00
Ho 0.269 0.269 0.192  0.06
Nd 0.500 0.500 0.501  0.12
Ho 0.064 0.064 0.807  0.09

9.
DFT (PBE) results for a geometry-optimized SrCeUS6 structure.

Output
Crystal system ... tetragonal
E_form (uncorrected) ... -1.47 eV per atom
Total magnetization ... 0.39 Bohr magnetons per cell
Space group ... No. 102

Lattice parameters (Å, degrees): 6.436 6.436 12.519 90.00 90.00 90.00
Each line ends with the local moment (μB).
Atoms (fractional coordinates):
Sr 0.000 0.000 0.000  0.00
S 0.198 0.802 0.190  -0.01
U 0.500 0.500 0.833  -0.04
S 0.698 0.698 0.690  -0.01
S 0.823 0.177 0.491  -0.01
S 0.783 0.217 0.820  -0.01
Ce 0.000 0.000 0.667  0.28
S 0.283 0.283 0.320  -0.01
S 0.802 0.198 0.190  -0.01
U 0.000 0.000 0.333  -0.04
S 0.177 0.823 0.491  -0.01
Ce 0.500 0.500 0.167  0.28
S 0.717 0.717 0.320  -0.01
S 0.677 0.677 0.991  -0.01
S 0.302 0.302 0.690  -0.01
Sr 0.500 0.500 0.500  0.00
S 0.217 0.783 0.820  -0.01
S 0.323 0.323 0.991  -0.01

10.
DFT (PBE) results for a geometry-optimized HoMgAgPb structure.

Output
Crystal system ... cubic
E ... -3.475 eV/atom
Total magnetization ... 0.00 Bohr magnetons per cell
Space group ... No. 216

Lattice parameters (Å, degrees): 5.126 5.126 5.126 60.00 60.00 60.00
Atoms (fractional coordinates):
Ho 0.500 0.500 0.500
Ag 0.250 0.250 0.250
Mg 0.000 0.000 0.000
Pb 0.750 0.750 0.750

11.
DFT (PBE) results for a geometry-optimized KCuGe2Pt structure.

Output
Crystal system ... tetragonal
E ... -4.322 eV/atom
Total magnetization ... 0.00 Bohr magnetons per cell
Space group ... No. 119

Lattice parameters (Å, degrees): 4.283 4.283 6.667 108.74 108.74 90.00
Atoms (fractional coordinates):
Cu 0.750 0.250 0.500
Ge 0.643 0.643 0.285
Pt 0.250 0.750 0.500
Ge 0.357 0.357 0.715
K 0.000 0.000 0.000

12.
DFT (PBE) results for a geometry-optimized Ta2AlTcI structure.

Output
Crystal system ... tetragonal
E_form (uncorrected) ... 2.43 eV per atom
Total magnetization ... 1.96 Bohr magnetons per cell
Space group ... No. 123

Lattice parameters (Å, degrees): 4.959 5.028 4.959 90.00 90.00 90.00
Each line ends with the local moment (μB).
Atoms (fractional coordinates):
Al 0.000 0.500 0.000  -0.01
Tc 0.500 0.500 0.500  2.52
I 0.000 0.000 0.000  0.00
Ta 0.500 0.000 0.000  -0.32
Ta 0.000 0.000 0.500  -0.21